# 1
Computed, not measured: an optimized crystal structure of LiTeBr2 at the PBE level of DFT.

abc: 4.541 5.183 5.199
angles: 91.44 90.00 90.00
Element x y z (fractional)
Br 0.000 0.005 0.005
Br 0.000 0.495 0.495
Li 0.500 0.250 0.250
Te 0.500 0.750 0.750

SG	P2/m
N(E_F)	1.11	states/eV per cell


# 2
Computed, not measured: an optimized crystal structure of Li2TeBr at the PBE level of DFT.

abc: 6.663 6.663 6.881
angles: 61.04 61.04 90.00
Site moments in Bohr magnetons follow the coordinates.
Element x y z (fractional)
Te 0.000 0.000 0.000  0.49
Te 0.750 0.250 0.500  0.49
Br 0.500 0.500 0.000  0.03
Br 0.250 0.750 0.500  0.03
Li 0.586 0.125 0.250  0.01
Li 0.164 0.625 0.250  0.01
Li 0.375 0.414 0.750  0.01
Li 0.875 0.836 0.750  0.01

SG	I-42d
N(E_F)	1.71	states/eV per cell


# 3
Computed, not measured: an optimized crystal structure of LiTeBr2 at the PBE level of DFT.

abc: 3.429 3.429 8.251
angles: 90.00 90.00 90.00
Element x y z (fractional)
Br 0.000 0.000 0.053
Br 0.000 0.000 0.447
Li 0.500 0.500 0.250
Te 0.500 0.500 0.750

SG	P4/mmm
N(E_F)	3.11	states/eV per cell


# 4
Computed, not measured: an optimized crystal structure of LiTeBr2 at the PBE level of DFT.

abc: 3.944 3.944 8.894
angles: 90.00 90.00 127.36
Element x y z (fractional)
Br 0.000 0.000 0.043
Br 0.000 0.000 0.457
Li 0.500 0.500 0.250
Te 0.500 0.500 0.750

SG	Cmmm
N(E_F)	2.96	states/eV per cell


# 5
Computed, not measured: an optimized crystal structure of Li2TeBr at the PBE level of DFT.

abc: 7.597 7.597 4.027
angles: 90.01 90.01 24.89
Element x y z (fractional)
Br 0.218 0.218 0.125
Li 0.050 0.050 0.125
Li 0.773 0.773 0.626
Te 0.459 0.459 0.625

SG	Amm2
N(E_F)	0.37	states/eV per cell


# 6
Computed, not measured: an optimized crystal structure of LiTeBr2 at the PBE level of DFT.

abc: 3.143 3.143 12.189
angles: 90.00 90.00 90.00
Element x y z (fractional)
Br 0.000 0.000 0.104
Br 0.000 0.000 0.396
Li 0.500 0.500 0.250
Te 0.500 0.500 0.750

SG	P4/mmm
N(E_F)	2.91	states/eV per cell


# 7
Computed, not measured: an optimized crystal structure of Li2TeBr at the PBE level of DFT.

abc: 7.835 7.835 7.835
angles: 154.32 153.74 37.06
Element x y z (fractional)
Br 0.203 0.703 0.500
Li 0.064 0.064 0.000
Li 0.783 0.283 0.500
Te 0.450 0.450 0.000

SG	Imm2
N(E_F)	0.66	states/eV per cell


# 8
Computed, not measured: an optimized crystal structure of Li2TeBr at the PBE level of DFT.

abc: 5.069 5.069 5.069
angles: 60.00 60.00 60.00
Element x y z (fractional)
Te 0.500 0.500 0.500
Br 0.000 0.000 0.000
Li 0.250 0.250 0.250
Li 0.750 0.750 0.750

SG	Fm-3m
N(E_F)	4.25	states/eV per cell


Uncorrected formation energy list, top to bottom, in eV per atom: -0.424; -0.902; -0.398; -0.445; -1.018; -0.460; -1.015; -0.700
DFT total energy list, top to bottom, in eV/atom: -2.525; -3.062; -2.499; -2.545; -3.179; -2.560; -3.175; -2.860
Energy relative to the lowest polymorph listed for this composition list, top to bottom, in eV per atom: 0.291; 0.144; 0.317; 0.270; 0.027; 0.255; 0.031; 0.346